CaMg2H6 | PBE | relaxed

Unit cell a=4.7437 b=5.0788 c=5.0788 alpha=120.00 beta=90.00 gamma=90.00
Fractional positions:
H  0.2765  0.6389  0.0000
H  0.7235  0.3611  0.0000
H  0.7235  0.0000  0.3611
H  0.7235  0.6389  0.6389
H  0.2765  0.0000  0.6389
H  0.2765  0.3611  0.3611
Mg  0.5000  0.3333  0.6667
Mg  0.5000  0.6667  0.3333
Ca  0.0000  0.0000  0.0000

Results
volume	106.0	Å³ per cell
energy relative to the lowest polymorph listed for this composition	0	meV/atom
space group	P-31m
N(E_F)	0.0	states/eV per cell
crystal system	trigonal